No. 1
The following is a DFT calculation (PBE) of an optimized crystal structure of Dy2HoCd3CuAu2.

Computed properties:
For the formation enthalpy at 0 K, the calculation gives -56 kJ per mole of atoms.

Cell and atoms, written as CIF:
```
data_Dy2HoCd3CuAu2
_space_group_name_H-M_alt 'A m m 2'
_space_group_IT_number 38
_space_group_name_Hall 'A 2 -2'
_cell_length_a 3.846
_cell_length_b 13.365
_cell_length_c 7.726
_cell_angle_alpha 90.00
_cell_angle_beta 90.00
_cell_angle_gamma 90.00
loop_
_atom_site_label
_atom_site_type_symbol
_atom_site_fract_x
_atom_site_fract_y
_atom_site_fract_z
_atom_site_occupancy
Dy1 Dy 0.000 0.203 0.000 1
Ho1 Ho 0.000 0.000 0.390 1
Cd1 Cd 0.500 0.000 0.043 1
Cd2 Cd 0.500 0.123 0.674 1
Cu1 Cu 0.000 0.000 0.796 1
Au1 Au 0.500 0.166 0.297 1
```

---

No. 2
The following is a DFT calculation (PBE) of an optimized crystal structure of PdF.

Computed properties:
Its relative energy among the computed polymorphs is 0.0000 eV/atom.

Cell and atoms, written as CIF:
```
data_PdF
_space_group_name_H-M_alt 'P -6 m 2'
_space_group_IT_number 187
_space_group_name_Hall 'P -6 2'
_cell_length_a 2.7391
_cell_length_b 2.7391
_cell_length_c 3.7449
_cell_angle_alpha 90.00
_cell_angle_beta 90.00
_cell_angle_gamma 120.00
loop_
_atom_site_label
_atom_site_type_symbol
_atom_site_fract_x
_atom_site_fract_y
_atom_site_fract_z
_atom_site_occupancy
Pd1 Pd 0.0000 0.0000 0.0000 1
F1 F 0.3333 0.6667 0.5000 1
```

---

No. 3
The following is a DFT calculation (PBE) of an optimized crystal structure of NdCd3Sn4O12.

Cell and atoms, written as CIF:
```
data_NdCd3Sn4O12
_space_group_name_H-M_alt 'I m -3'
_space_group_IT_number 204
_space_group_name_Hall '-I 2 2 3'
_cell_length_a 8.009
_cell_length_b 8.009
_cell_length_c 8.009
_cell_angle_alpha 90.00
_cell_angle_beta 90.00
_cell_angle_gamma 90.00
loop_
_atom_site_label
_atom_site_type_symbol
_atom_site_fract_x
_atom_site_fract_y
_atom_site_fract_z
_atom_site_occupancy
Nd1 Nd 0.000 0.000 0.000 1
Cd1 Cd 0.000 0.000 0.500 1
Sn1 Sn 0.250 0.250 0.250 1
O1 O 0.000 0.184 0.287 1
```

---

| no. | E_tot (eV/atom) |
| --- | --- |
| 1 | -3.55 |
| 2 | -3.88 |
| 3 | -5.77 |